Rb2FeCl4: relaxed, PBE.

Computed properties:
The value obtained for the total energy is -3.99 eV per atom. The value obtained for the energy relative to the elements, uncorrected is -1451 meV/atom. As for the mass density: 2.610 g/cm3. The density of states at the Fermi level comes out at 7.176 states/eV/f.u. Its space group is P2_1/m (11). Its crystal system is monoclinic. Its spin magnetization is 4.0 μB per formula unit.

a b c (Å): 7.288 7.322 9.284
angles (deg): 90.00 108.81 90.00
Site moments in Bohr magnetons follow the coordinates.
Atoms (fractional coordinates):
1 Rb 0.707 0.750 0.044  0.00
2 Rb 0.293 0.250 0.956  0.00
3 Rb 0.211 0.250 0.425  0.00
4 Rb 0.789 0.750 0.575  0.00
5 Fe 0.280 0.750 0.208  3.39
6 Fe 0.720 0.250 0.792  3.39
7 Cl 0.489 0.505 0.266  0.07
8 Cl 0.119 0.750 0.950  0.07
9 Cl 0.881 0.250 0.050  0.07
10 Cl 0.489 0.995 0.266  0.07
11 Cl 0.919 0.250 0.644  0.07
12 Cl 0.511 0.005 0.734  0.07
13 Cl 0.511 0.495 0.734  0.07
14 Cl 0.081 0.750 0.356  0.07